Material: KMnCuOs2
Method: DFT, GGA-PBE
State: relaxed

The structure belongs to space group P4/mmm (No. 123); the cell edges are 4.5662, 4.5662 and 4.8909 Å and the angles 90.00°, 90.00° and 90.00°. The distinct sites, in fractional coordinates, are K at (0.0000, 0.0000, 0.0000), Mn at (0.5000, 0.5000, 0.0000), Cu at (0.0000, 0.0000, 0.5000) and Os at (0.0000, 0.5000, 0.5000).

The value obtained for the density of states at the Fermi level is 12.338 states/eV per cell. The energy of formation from the pure elements is 2.515 eV/atom. For the magnetic moment, the calculation gives 0.07 μB/cell.